Entry 1:
# GGA-PBE BaSr2In, optimized geometry
data_BaSr2In
_chemical_formula_sum 'Ba1 Sr2 In1'
_cell_length_a 5.498
_cell_length_b 5.498
_cell_length_c 5.660
_cell_angle_alpha 90.00
_cell_angle_beta 90.00
_cell_angle_gamma 90.00
_space_group_name_H-M_alt 'P 4/m m m'
_space_group_IT_number 123
_space_group_name_Hall '-P 4 2'
loop_
_atom_site_label
_atom_site_type_symbol
_atom_site_fract_x
_atom_site_fract_y
_atom_site_fract_z
Ba1 Ba 0.000 0.000 0.000
Sr1 Sr 0.000 0.500 0.500
In1 In 0.500 0.500 0.000
# Crystal system   tetragonal
# Offset from the most stable computed form   0.31 eV per formula unit
# DFT formation energy   -144 meV/atom
# D(E_F)   7.820 states/eV/f.u.
# VASP energy   -2.150 eV/atom



Entry 2:
# GGA-PBE TaGaP2, optimized geometry
data_TaGaP2
_chemical_formula_sum 'Ta4 Ga4 P8'
_cell_length_a 5.725
_cell_length_b 5.725
_cell_length_c 10.719
_cell_angle_alpha 90.00
_cell_angle_beta 90.00
_cell_angle_gamma 90.00
_space_group_name_H-M_alt 'I -4 2 d'
_space_group_IT_number 122
_space_group_name_Hall 'I -4 2bw'
loop_
_atom_site_label
_atom_site_type_symbol
_atom_site_fract_x
_atom_site_fract_y
_atom_site_fract_z
Ta1 Ta 0.000 0.000 0.000
Ga1 Ga 0.000 0.000 0.500
P1 P 0.249 0.250 0.125
# Crystal system   tetragonal
# DFT formation energy   -35 meV/atom
# D(E_F)   3.366 states/eV/f.u.
# VASP energy   -6.460 eV/atom



Entry 3:
# GGA-PBE ErPuSeO2, optimized geometry
data_ErPuSeO2
_chemical_formula_sum 'Er2 Pu2 Se2 O4'
_cell_length_a 3.824
_cell_length_b 3.824
_cell_length_c 12.197
_cell_angle_alpha 90.00
_cell_angle_beta 90.00
_cell_angle_gamma 90.00
_space_group_name_H-M_alt 'I 4 m m'
_space_group_IT_number 107
_space_group_name_Hall 'I 4 -2'
loop_
_atom_site_label
_atom_site_type_symbol
_atom_site_fract_x
_atom_site_fract_y
_atom_site_fract_z
Er1 Er 0.000 0.000 0.000
Pu1 Pu 0.000 0.000 0.304
Se1 Se 0.000 0.000 0.657
O1 O 0.000 0.500 0.410
# Crystal system   tetragonal
# D(E_F)   10.224 states/eV/f.u.
# VASP energy   -9.245 eV/atom
# ΔE_f (raw)   -2.79 eV/atom



Entry 4:
# GGA-PBE Ti3ZnMo2, optimized geometry
data_Ti3ZnMo2
_chemical_formula_sum 'Ti6 Zn2 Mo4'
_cell_length_a 4.470
_cell_length_b 13.054
_cell_length_c 3.246
_cell_angle_alpha 90.00
_cell_angle_beta 90.00
_cell_angle_gamma 90.00
_space_group_name_H-M_alt 'C m m m'
_space_group_IT_number 65
_space_group_name_Hall '-C 2 2'
loop_
_atom_site_label
_atom_site_type_symbol
_atom_site_fract_x
_atom_site_fract_y
_atom_site_fract_z
Ti1 Ti 0.000 0.000 0.000
Ti2 Ti 0.000 0.325 0.000
Zn1 Zn 0.000 0.500 0.500
Mo1 Mo 0.000 0.162 0.500
# Crystal system   orthorhombic
# Offset from the most stable computed form   0.00 eV per formula unit
# DFT formation energy   -161 meV/atom
# D(E_F)   5.558 states/eV/f.u.
# VASP energy   -7.931 eV/atom



Entry 5:
# GGA-PBE Tm2CoNi3Ge4, optimized geometry
data_Tm2CoNi3Ge4
_chemical_formula_sum 'Tm2 Co1 Ni3 Ge4'
_cell_length_a 4.020
_cell_length_b 4.020
_cell_length_c 9.759
_cell_angle_alpha 90.00
_cell_angle_beta 90.00
_cell_angle_gamma 90.00
_space_group_name_H-M_alt 'P -4 m 2'
_space_group_IT_number 115
_space_group_name_Hall 'P -4 -2'
loop_
_atom_site_label
_atom_site_type_symbol
_atom_site_fract_x
_atom_site_fract_y
_atom_site_fract_z
Tm1 Tm 0.000 0.500 0.248
Co1 Co 0.500 0.500 0.000
Ni1 Ni 0.000 0.000 0.000
Ni2 Ni 0.000 0.500 0.631
Ge1 Ge 0.000 0.000 0.500
Ge2 Ge 0.000 0.500 0.870
Ge3 Ge 0.500 0.500 0.500
# Crystal system   tetragonal
# DFT formation energy   -643 meV/atom
# D(E_F)   4.977 states/eV/f.u.
# VASP energy   -5.830 eV/atom



Entry 6:
# GGA-PBE LiLaMg, optimized geometry
data_LiLaMg
_chemical_formula_sum 'Li4 La4 Mg4'
_cell_length_a 7.156
_cell_length_b 7.156
_cell_length_c 7.156
_cell_angle_alpha 90.00
_cell_angle_beta 90.00
_cell_angle_gamma 90.00
_space_group_name_H-M_alt 'F -4 3 m'
_space_group_IT_number 216
_space_group_name_Hall 'F -4 2 3'
loop_
_atom_site_label
_atom_site_type_symbol
_atom_site_fract_x
_atom_site_fract_y
_atom_site_fract_z
Li1 Li 0.000 0.000 0.000
La1 La 0.250 0.250 0.250
Mg1 Mg 0.250 0.250 0.750
# Crystal system   cubic
# Offset from the most stable computed form   0.92 eV per formula unit
# DFT formation energy   275 meV/atom
# D(E_F)   5.004 states/eV/f.u.
# VASP energy   -2.537 eV/atom



- Number 1 is which compound?
  BaSr2In



- Which value of VASP energy does entry 6 give?
  -2.537 eV/atom



- Which of these has the highest VASP energy?
  BaSr2In